Record 1
Crystalline Nb3Co4B7 at its relaxed geometry. Source: OQMD, functional GGA-PBE.

abc: 3.202 8.888 9.335
angles: 90.00 80.12 90.00
Each line ends with the local moment (μB).
Fractional positions:
B 0.045 0.750 0.911  0.00
B 0.710 0.855 0.579  0.00
Nb 0.698 0.250 0.604  0.04
Co 0.199 0.005 0.602  0.16
Co 0.801 0.995 0.398  0.16
B 0.984 0.593 0.031  0.00
B 0.955 0.250 0.089  0.00
B 0.710 0.645 0.579  0.00
B 0.016 0.093 0.969  0.00
Nb 0.302 0.750 0.396  0.04
Co 0.199 0.495 0.602  0.16
B 0.290 0.355 0.421  0.00
Co 0.156 0.750 0.687  0.22
Nb 0.581 0.945 0.838  0.00
Co 0.844 0.250 0.313  0.22
B 0.016 0.407 0.969  0.00
Co 0.801 0.505 0.398  0.16
Nb 0.581 0.555 0.838  0.00
B 0.984 0.907 0.031  0.00
B 0.110 0.352 0.780  0.00
B 0.890 0.648 0.220  0.00
Nb 0.419 0.055 0.162  0.00
B 0.290 0.145 0.421  0.00
B 0.110 0.148 0.780  0.00
Co 0.458 0.750 0.085  0.04
Co 0.542 0.250 0.915  0.04
Nb 0.419 0.445 0.162  0.00
B 0.890 0.852 0.220  0.00

Record 2
Crystalline Nb4CoB3 at its relaxed geometry. Source: OQMD, functional GGA-PBE.

abc: 3.242 3.242 23.132
angles: 90.00 90.00 120.00
Each line ends with the local moment (μB).
Fractional positions:
Nb 0.000 0.000 0.828  -0.03
Co 0.333 0.667 0.250  0.64
Co 0.667 0.333 0.750  0.64
B 0.667 0.333 0.383  0.01
B 0.333 0.667 0.883  0.01
B 0.667 0.333 0.117  0.01
B 0.000 0.000 0.000  0.01
Nb 0.000 0.000 0.172  -0.03
Nb 0.000 0.000 0.328  -0.03
B 0.000 0.000 0.500  0.01
B 0.333 0.667 0.617  0.01
Nb 0.333 0.667 0.443  0.00
Nb 0.000 0.000 0.672  -0.03
Nb 0.333 0.667 0.057  -0.01
Nb 0.667 0.333 0.943  -0.01
Nb 0.667 0.333 0.557  0.00

| no. | calculated total energy (eV per atom) | theoretical density (g cm⁻³) |
| --- | --- | --- |
| 1 | -8.122 | 7.5 |
| 2 | -8.799 | 7.3 |